(1)
This record from the Alexandria database describes a relaxed KFe2As crystal. The functional is GGA-PBE.

Unit cell a=4.142 b=4.142 c=6.657 alpha=109.88 beta=109.88 gamma=60.04
Fractional coordinates of all 4 atoms:
K: 0.000 0.000 0.000
Fe: 0.176 0.176 0.527
Fe: 0.824 0.824 0.473
As: 0.500 0.500 0.500

Results
space group	C2/m (12)
ΔE_f	0.0843	eV/atom

***

(2)
This record from the Alexandria database describes a relaxed CaMnOs crystal. The functional is GGA-PBE.

Unit cell a=5.842 b=5.842 c=5.842 alpha=151.29 beta=143.46 gamma=47.12
Fractional coordinates of all 3 atoms:
Ca: 0.000 0.000 0.000
Mn: 0.715 0.715 0.000
Os: 0.292 0.292 0.000

Results
space group	Imm2 (44)
ΔE_f	0.3571	eV/atom
relative energy among the computed polymorphs	0.0	meV/atom

***

(3)
This record from the Alexandria database describes a relaxed Ce4YTm3Te8 crystal. The functional is GGA-PBE.

Unit cell a=8.912 b=8.912 c=8.912 alpha=58.50 beta=58.50 gamma=58.50
Fractional coordinates of all 16 atoms:
Ce: 0.000 0.000 0.000
Ce: 0.000 0.500 0.500
Ce: 0.500 0.000 0.500
Ce: 0.500 0.500 0.000
Y: 0.500 0.500 0.500
Tm: 0.000 0.000 0.500
Tm: 0.000 0.500 0.000
Tm: 0.500 0.000 0.000
Te: 0.243 0.747 0.747
Te: 0.245 0.245 0.245
Te: 0.253 0.253 0.757
Te: 0.253 0.757 0.253
Te: 0.747 0.243 0.747
Te: 0.747 0.747 0.243
Te: 0.755 0.755 0.755
Te: 0.757 0.253 0.253

Results
space group	R-3m (166)
uncorrected formation energy	-1302	meV/atom

***

(4)
This record from the Alexandria database describes a relaxed Li2TcPb crystal. The functional is GGA-PBE.

Unit cell a=3.004 b=3.904 c=5.985 alpha=90.00 beta=90.00 gamma=90.00
Fractional coordinates of all 4 atoms:
Li: 0.000 0.000 0.000
Li: 0.500 0.500 0.237
Tc: 0.500 0.500 0.768
Pb: 0.000 0.000 0.515

Results
space group	Pmm2 (25)
ΔE_f	0.3179	eV/atom

***

(5)
This record from the Alexandria database describes a relaxed Li2HfNbBr crystal. The functional is GGA-PBE.

Unit cell a=4.789 b=4.789 c=4.784 alpha=90.00 beta=90.00 gamma=90.00
Fractional coordinates of all 5 atoms:
Li: 0.000 0.500 0.000
Li: 0.500 0.000 0.000
Hf: 0.000 0.000 0.500
Nb: 0.500 0.500 0.000
Br: 0.500 0.500 0.500

Results
space group	P4/mmm (123)
uncorrected formation energy	1151	meV/atom

***

(6)
This record from the Alexandria database describes a relaxed TbNdSmEr3 crystal. The functional is GGA-PBE.

Unit cell a=7.971 b=7.971 c=10.089 alpha=90.00 beta=90.00 gamma=143.14
Fractional coordinates of all 12 atoms:
Tb: 0.168 0.832 0.750
Tb: 0.832 0.168 0.250
Nd: 0.000 0.000 0.000
Nd: 0.000 0.000 0.500
Sm: 0.500 0.500 0.250
Sm: 0.500 0.500 0.750
Er: 0.168 0.832 0.250
Er: 0.332 0.668 0.000
Er: 0.332 0.668 0.500
Er: 0.668 0.332 0.000
Er: 0.668 0.332 0.500
Er: 0.832 0.168 0.750

Results
space group	Cmcm (63)
ΔE_f	0.0220	eV/atom

***

(7)
This record from the Alexandria database describes a relaxed NaSrCa2Zn crystal. The functional is GGA-PBE.

Unit cell a=5.860 b=5.860 c=5.874 alpha=90.00 beta=90.00 gamma=90.00
Fractional coordinates of all 5 atoms:
Na: 0.000 0.000 0.000
Sr: 0.500 0.500 0.000
Ca: 0.000 0.500 0.500
Ca: 0.500 0.000 0.500
Zn: 0.000 0.000 0.500

Results
space group	P4/mmm (123)
ΔE_f	0.0589	eV/atom
relative energy among the computed polymorphs	43.9	meV/atom

***

(8)
This record from the Alexandria database describes a relaxed TbPaHg4 crystal. The functional is GGA-PBE.

Unit cell a=5.024 b=5.024 c=6.566 alpha=90.00 beta=90.00 gamma=120.00
Fractional coordinates of all 6 atoms:
Tb: 0.000 0.000 0.000
Pa: 0.000 0.000 0.500
Hg: 0.333 0.667 0.257
Hg: 0.333 0.667 0.743
Hg: 0.667 0.333 0.257
Hg: 0.667 0.333 0.743

Results
space group	P6/mmm (191)
ΔE_f	-0.1589	eV/atom

***

(9)
This record from the Alexandria database describes a relaxed TcSnS3 crystal. The functional is GGA-PBE.

Unit cell a=4.955 b=4.955 c=4.955 alpha=90.00 beta=90.00 gamma=90.00
Fractional coordinates of all 5 atoms:
Tc: 0.000 0.000 0.000
Sn: 0.500 0.500 0.500
S: 0.000 0.500 0.500
S: 0.500 0.000 0.500
S: 0.500 0.500 0.000

Results
space group	Pm-3m (221)
uncorrected formation energy	912	meV/atom
relative energy among the computed polymorphs	858.9	meV/atom

***

(10)
This record from the Alexandria database describes a relaxed NaBiSbPd crystal. The functional is GGA-PBE.

Unit cell a=5.062 b=5.062 c=5.062 alpha=60.00 beta=60.00 gamma=60.00
Fractional coordinates of all 4 atoms:
Na: 0.000 0.000 0.000
Bi: 0.750 0.750 0.750
Sb: 0.250 0.250 0.250
Pd: 0.500 0.500 0.500

Results
space group	F-43m (216)
uncorrected formation energy	-195	meV/atom

***

(11)
This record from the Alexandria database describes a relaxed Na2CuHg2 crystal. The functional is GGA-PBE.

Unit cell a=7.123 b=7.123 c=4.840 alpha=90.00 beta=90.00 gamma=90.00
Fractional coordinates of all 10 atoms:
Na: 0.168 0.332 0.000
Na: 0.332 0.832 0.000
Na: 0.668 0.168 0.000
Na: 0.832 0.668 0.000
Cu: 0.000 0.000 0.500
Cu: 0.500 0.500 0.500
Hg: 0.150 0.650 0.500
Hg: 0.350 0.150 0.500
Hg: 0.650 0.850 0.500
Hg: 0.850 0.350 0.500

Results
space group	P4/mbm (127)
ΔE_f	-0.0454	eV/atom
relative energy among the computed polymorphs	0.0	meV/atom

***

(12)
This record from the Alexandria database describes a relaxed CePu2CuS5 crystal. The functional is GGA-PBE.

Unit cell a=8.488 b=8.488 c=11.786 alpha=90.00 beta=90.00 gamma=153.66
Fractional coordinates of all 18 atoms:
Ce: 0.183 0.817 0.500
Ce: 0.817 0.183 0.000
Pu: 0.109 0.891 0.821
Pu: 0.113 0.887 0.164
Pu: 0.887 0.113 0.664
Pu: 0.891 0.109 0.321
Cu: 0.450 0.550 0.895
Cu: 0.550 0.450 0.395
S: 0.015 0.985 0.488
S: 0.301 0.699 0.167
S: 0.318 0.682 0.829
S: 0.349 0.651 0.491
S: 0.493 0.507 0.222
S: 0.507 0.493 0.722
S: 0.651 0.349 0.991
S: 0.682 0.318 0.329
S: 0.699 0.301 0.667
S: 0.985 0.015 0.988

Results
space group	Cmc2_1 (36)
uncorrected formation energy	-1510	meV/atom

***

no.,electronic total energy (eV/cell)
1,-22.34
2,-21.33
3,-89.58
4,-16.63
5,-19.77
6,-55.35
7,-7.98
8,-16.29
9,-22.19
10,-15.29
11,-15.13
12,-145.84